Entry from the Open Quantum Materials Database: crystalline GdDyTlPd2 at its relaxed geometry (PBE-GGA).

The space group is Amm2 (No. 38) and the conventional cell measures 3.6786, 4.1309 and 15.1221 Å, with angles of 90.00, 90.00 and 90.00 degrees. Symmetry generates all atoms from Gd at (0.0000, 0.0000, 0.0000), Dy at (0.0000, 0.0000, 0.7319), Tl at (0.5000, 0.0000, 0.3660), Pd at (0.5000, 0.0000, 0.1764) and Pd at (0.5000, 0.0000, 0.5576).

As for the magnetization: 0.01 μB/cell.

=====

Entry from the Open Quantum Materials Database: crystalline RbSb5Mo3 at its relaxed geometry (PBE-GGA).

The space group is P6/mmm (No. 191) and the conventional cell measures 5.6305, 5.6305 and 9.3731 Å, with angles of 90.00, 90.00 and 120.00 degrees. Symmetry generates all atoms from Rb at (0.0000, 0.0000, 0.0000), Sb at (0.0000, 0.0000, 0.5000), Sb at (0.3333, 0.6667, 0.2505) and Mo at (0.0000, 0.5000, 0.5000).

As for the magnetization: 0.00 μB/cell.

=====

Entry from the Open Quantum Materials Database: crystalline CsYCuSe3 at its relaxed geometry (PBE-GGA).

The space group is P2_1/m (No. 11) and the conventional cell measures 9.7167, 4.1042 and 10.1046 Å, with angles of 90.00, 112.68 and 90.00 degrees. Symmetry generates all atoms from Cs at (0.2137, 0.2500, 0.2463), Y at (0.3274, 0.7500, 0.8578), Cu at (0.0836, 0.2500, 0.6056), Se at (0.1227, 0.2500, 0.8581), Se at (0.1838, 0.7500, 0.5428) and Se at (0.4748, 0.7500, 0.1622).

As for the magnetization: 0.00 μB/cell.

=====

Entry from the Open Quantum Materials Database: crystalline CdCl2 at its relaxed geometry (PBE-GGA).

The space group is Fd-3m (No. 227, origin choice 2) and the conventional cell measures 8.3353, 8.3353 and 8.3353 Å, with angles of 90.00, 90.00 and 90.00 degrees. Symmetry generates all atoms from Cd at (0.1250, 0.1250, 0.1250) and Cl at (0.0000, 0.0000, 0.5000).

=====

Respective volume values: 229.79; 257.34; 371.80; 579.11 Å³/cell.
Respective E_tot values: -51.60; -54.22; -57.36; -28.66 eV for the cell shown.